# Tb3HoTl4

Tb3HoTl4 after structural relaxation (PBE, Alexandria).

- Space-group type: Pmna, No. 53
- Calculated volume: 448 Å³/cell
- Total magnetic moment: 0.00 μB/cell
- Final energy: -59.41 eV/cell
- Formation enthalpy at 0 K: -1.8 eV per formula unit

Unit cell a=6.6512 b=6.7136 c=10.0222 alpha=90.00 beta=90.00 gamma=90.00
Closest atoms and distances in Å follow each position.
Fractional positions:
Tb  0.8141  0.9998  0.0000  6 Tl 3.33-3.45, 2 Ho 3.36, 4 Tb 3.45
Tb  0.0644  0.7494  0.2500  8 Tl 3.33-3.45, 2 Ho 3.44, 2 Tb 3.45
Tb  0.5644  0.2506  0.2500  8 Tl 3.33-3.45, 2 Ho 3.44, 2 Tb 3.45
Tb  0.3141  0.0002  0.5000  6 Tl 3.33-3.45, 2 Ho 3.36, 4 Tb 3.45
Tb  0.5644  0.2506  0.7500  8 Tl 3.33-3.45, 2 Ho 3.44, 2 Tb 3.45
Tb  0.0644  0.7494  0.7500  8 Tl 3.33-3.45, 2 Ho 3.44, 2 Tb 3.45
Ho  0.8147  0.4999  0.0000  6 Tl 3.33-3.44, 6 Tb 3.36-3.44
Ho  0.3147  0.5001  0.5000  6 Tl 3.33-3.44, 6 Tb 3.36-3.44
Tl  0.3141  0.0002  0.0000  6 Tb 3.33-3.45, 6 Tl 3.36-3.45
Tl  0.3146  0.5003  0.0000  2 Ho 3.33, 6 Tl 3.36-3.44, 4 Tb 3.44
Tl  0.0645  0.2502  0.2500  6 Tb 3.33-3.45, 2 Ho 3.44, 4 Tl 3.44-3.45
Tl  0.5645  0.7498  0.2500  6 Tb 3.33-3.45, 2 Ho 3.44, 4 Tl 3.44-3.45
Tl  0.8146  0.4997  0.5000  2 Ho 3.33, 6 Tl 3.36-3.44, 4 Tb 3.44
Tl  0.8141  0.9998  0.5000  6 Tb 3.33-3.45, 6 Tl 3.36-3.45
Tl  0.5645  0.7498  0.7500  6 Tb 3.33-3.45, 2 Ho 3.44, 4 Tl 3.44-3.45
Tl  0.0645  0.2502  0.7500  6 Tb 3.33-3.45, 2 Ho 3.44, 4 Tl 3.44-3.45